[1]
Computed, not measured: a relaxed structure of K2Mn2Co at the PBE level of DFT.

Output
Formation enthalpy at 0 K   1.56 eV/atom

Cell: 9.8345 9.8345 2.6926 Å, 90.00 90.00 90.00°
With the nearest neighbours (Å) after each atom.
Space group P4/mbm (No. 127)
Unique sites:
K  0.2133  0.2867  0.0000  2 K 2.69
Mn  0.0665  0.5665  0.5000  1 Mn 1.85
Co  0.0000  0.0000  0.0000  2 Co 2.69

[2]
Computed, not measured: a relaxed structure of K2Ba2Li at the PBE level of DFT.

Output
Formation enthalpy at 0 K   0.23 eV/atom

Cell: 9.2909 9.2909 7.4051 Å, 90.00 90.00 90.00°
With the nearest neighbours (Å) after each atom.
Space group P4/mbm (No. 127)
Unique sites:
K  0.1687  0.3313  0.0000  6 Ba 4.34-4.80, 1 K 4.43
Ba  0.1594  0.6594  0.5000  2 Li 3.49
Li  0.0000  0.0000  0.5000  4 Ba 3.49

[3]
Computed, not measured: a relaxed structure of Pr2MgIn3 at the PBE level of DFT.

Output
Formation enthalpy at 0 K   -0.45 eV/atom

Cell: 7.5490 10.0505 17.3537 Å, 90.00 90.00 90.00°
With the nearest neighbours (Å) after each atom.
Space group Fmmm (No. 69)
Unique sites:
Pr  0.2484  0.0000  0.0000  10 In 3.46-3.47, 2 Mg 3.47, 2 Pr 3.75-3.80
Pr  0.2500  0.2500  0.2500  8 In 3.44-3.45, 4 Mg 3.45, 2 Pr 3.77
Mg  0.0000  0.0000  0.3326  3 In 2.86-2.88
In  0.0000  0.0000  0.1679  1 Mg 2.86, 2 In 2.92
In  0.0000  0.2482  0.4159  1 Mg 2.88, 2 In 2.92

[4]
Computed, not measured: a relaxed structure of SrNbS2N at the PBE level of DFT.

Output
ΔE_f (raw)   -1.080 eV per atom

Cell: 4.9981 4.9981 3.9979 Å, 90.00 90.00 90.00°
With the nearest neighbours (Å) after each atom.
Space group P4/mmm (No. 123)
Unique sites:
Sr  0.0000  0.0000  0.0000  8 S 3.20, 4 N 3.53
Nb  0.5000  0.5000  0.5000  2 N 2.00
S  0.0000  0.5000  0.5000  2 Nb 2.50
N  0.5000  0.5000  0.0000  2 Nb 2.00

[5]
Computed, not measured: a relaxed structure of TiSiMo at the PBE level of DFT.

Output
ΔE_f (raw)   -0.166 eV per atom

Cell: 3.0387 3.4462 9.1795 Å, 90.00 90.00 90.00°
With the nearest neighbours (Å) after each atom.
Space group Amm2 (No. 38)
Unique sites:
Ti  0.0000  0.0000  0.0000  3 Si 2.56-2.70, 4 Mo 2.82
Si  0.0000  0.0000  0.7058  4 Mo 2.53, 3 Ti 2.56-2.70
Mo  0.5000  0.0000  0.3217  4 Si 2.53, 4 Ti 2.82

[6]
Computed, not measured: a relaxed structure of Cu2Ni2P at the PBE level of DFT.

Output
Formation enthalpy at 0 K   -0.07 eV/atom

Cell: 5.6400 5.6400 3.8642 Å, 90.00 90.00 90.00°
With the nearest neighbours (Å) after each atom.
Space group P4/mbm (No. 127)
Unique sites:
Cu  0.1566  0.3434  0.0000  6 Ni 2.47-2.60, 1 Cu 2.50
Ni  0.1513  0.6513  0.5000  2 P 2.14
P  0.0000  0.0000  0.5000  4 Ni 2.14

no.,DFT total energy (eV per atom),V (Å³/cell),density (g/cm³)
1,-3.972,260.4,3.15
2,-1.360,639.2,1.87
3,-3.676,1316.7,6.56
4,-6.747,99.9,4.30
5,-8.216,96.1,5.94
6,-5.106,122.9,7.44